[1]
The following is a PBE calculation of a relaxed Hg3AsW crystal, from the Alexandria database.

Cell lengths 5.285, 5.285, 5.285 Å; angles 90.00, 90.00, 90.00 degrees
Space group Pm-3m (No. 221)
Unique sites:
Hg1 0.000 0.000 0.500 x3
As1 0.500 0.500 0.500 x1
W1 0.000 0.000 0.000 x1

Values from the calculation:
Magnetization   0.00 μB per formula unit
Excess energy over the best structure of this formula in the dataset   0 meV per atom
DOS at the Fermi energy   7.2 states/eV/cell



[2]
The following is a PBE calculation of a relaxed HgAsW2 crystal, from the Alexandria database.

Cell lengths 3.268, 4.616, 10.480 Å; angles 90.00, 90.00, 90.00 degrees
Space group Cmm2 (No. 35)
Unique sites:
Hg1 0.000 0.000 0.000 x2
As1 0.000 0.500 0.352 x2
W1 0.000 0.000 0.553 x2
W2 0.000 0.500 0.754 x2

Values from the calculation:
Magnetization   0.00 μB per formula unit
Excess energy over the best structure of this formula in the dataset   17 meV per atom
DOS at the Fermi energy   4.9 states/eV/cell



[3]
The following is a PBE calculation of a relaxed HgAs2W crystal, from the Alexandria database.

Cell lengths 3.152, 3.152, 8.355 Å; angles 90.00, 90.00, 90.00 degrees
Space group P4/mmm (No. 123)
Unique sites:
Hg1 0.000 0.000 0.000 x1
As1 0.500 0.500 0.322 x2
W1 0.000 0.000 0.500 x1

Values from the calculation:
Calculated total energy   -5.493 eV/atom
Magnetization   0.00 μB per formula unit
DOS at the Fermi energy   2.6 states/eV/cell



[4]
The following is a PBE calculation of a relaxed HgAs2W crystal, from the Alexandria database.

Cell lengths 3.529, 4.684, 4.980 Å; angles 90.00, 110.64, 90.00 degrees
Space group Pm (No. 6)
Unique sites:
Hg1 0.000 0.000 0.000 x1
As1 0.312 0.500 0.626 x1
As2 0.723 0.000 0.448 x1
W1 0.605 0.500 0.211 x1

Values from the calculation:
Calculated total energy   -5.201 eV/atom
Magnetization   0.00 μB per formula unit
DOS at the Fermi energy   1.6 states/eV/cell



[5]
The following is a PBE calculation of a relaxed HgAsW3 crystal, from the Alexandria database.

Cell lengths 4.634, 4.634, 4.634 Å; angles 90.00, 90.00, 90.00 degrees
Space group Pm-3m (No. 221)
Unique sites:
Hg1 0.000 0.000 0.000 x1
As1 0.500 0.500 0.500 x1
W1 0.000 0.500 0.500 x3

Values from the calculation:
Magnetization   0.00 μB per formula unit
Excess energy over the best structure of this formula in the dataset   0 meV per atom
DOS at the Fermi energy   6.6 states/eV/cell



[6]
The following is a PBE calculation of a relaxed HgAs2W crystal, from the Alexandria database.

Cell lengths 3.955, 3.955, 9.479 Å; angles 90.00, 90.00, 90.00 degrees
Space group I-4m2 (No. 119)
Unique sites:
Hg1 0.000 0.000 0.000 x2
As1 0.000 0.000 0.500 x2
As2 0.000 0.500 0.250 x2
W1 0.000 0.500 0.750 x2

Values from the calculation:
Calculated total energy   -4.817 eV/atom
Magnetization   0.91 μB per formula unit
DOS at the Fermi energy   6.2 states/eV/cell



[7]
The following is a PBE calculation of a relaxed HgAs2W crystal, from the Alexandria database.

Cell lengths 3.175, 4.630, 5.024 Å; angles 90.00, 90.00, 90.00 degrees
Space group Pmmm (No. 47)
Unique sites:
Hg1 0.000 0.000 0.000 x1
As1 0.000 0.500 0.500 x1
As2 0.500 0.500 0.000 x1
W1 0.500 0.000 0.500 x1

Values from the calculation:
Calculated total energy   -4.772 eV/atom
Magnetization   0.00 μB per formula unit
DOS at the Fermi energy   3.4 states/eV/cell



[8]
The following is a PBE calculation of a relaxed HgAsW2 crystal, from the Alexandria database.

Cell lengths 3.104, 3.104, 7.061 Å; angles 90.00, 90.00, 90.00 degrees
Space group P4/mmm (No. 123)
Unique sites:
Hg1 0.000 0.000 0.000 x1
As1 0.000 0.000 0.500 x1
W1 0.500 0.500 0.297 x2

Values from the calculation:
Magnetization   0.00 μB per formula unit
Excess energy over the best structure of this formula in the dataset   208 meV per atom
DOS at the Fermi energy   3.7 states/eV/cell



[9]
The following is a PBE calculation of a relaxed HgAs2W crystal, from the Alexandria database.

Cell lengths 4.361, 4.361, 7.654 Å; angles 90.00, 90.00, 90.00 degrees
Space group I4/mmm (No. 139)
Unique sites:
Hg1 0.000 0.000 0.000 x2
As1 0.000 0.500 0.250 x4
W1 0.000 0.000 0.500 x2

Values from the calculation:
Calculated total energy   -4.913 eV/atom
Magnetization   0.00 μB per formula unit
DOS at the Fermi energy   7.8 states/eV/cell



[10]
The following is a PBE calculation of a relaxed HgAsW2 crystal, from the Alexandria database.

Cell lengths 2.894, 4.219, 5.843 Å; angles 90.00, 102.64, 90.00 degrees
Space group P2/m (No. 10)
Unique sites:
Hg1 0.000 0.000 0.000 x1
As1 0.500 0.000 0.500 x1
W1 0.399 0.500 0.727 x2

Values from the calculation:
Magnetization   0.00 μB per formula unit
Excess energy over the best structure of this formula in the dataset   344 meV per atom
DOS at the Fermi energy   2.9 states/eV/cell



[11]
The following is a PBE calculation of a relaxed HgAsW2 crystal, from the Alexandria database.

Cell lengths 3.197, 4.665, 4.711 Å; angles 90.00, 90.00, 90.00 degrees
Space group Pmmm (No. 47)
Unique sites:
Hg1 0.000 0.000 0.000 x1
As1 0.500 0.000 0.500 x1
W1 0.000 0.500 0.500 x1
W2 0.500 0.500 0.000 x1

Values from the calculation:
Magnetization   0.00 μB per formula unit
Excess energy over the best structure of this formula in the dataset   453 meV per atom
DOS at the Fermi energy   2.4 states/eV/cell



[12]
The following is a PBE calculation of a relaxed HgAs2W crystal, from the Alexandria database.

Cell lengths 3.404, 4.874, 10.480 Å; angles 90.00, 90.00, 90.00 degrees
Space group Cmmm (No. 65)
Unique sites:
Hg1 0.000 0.000 0.000 x2
As1 0.000 0.500 0.314 x4
W1 0.000 0.000 0.500 x2

Values from the calculation:
Calculated total energy   -5.373 eV/atom
Magnetization   0.00 μB per formula unit
DOS at the Fermi energy   6.9 states/eV/cell



[13]
The following is a PBE calculation of a relaxed HgAsW2 crystal, from the Alexandria database.

Cell lengths 6.575, 6.575, 6.575 Å; angles 90.00, 90.00, 90.00 degrees
Space group F-43m (No. 216)
Unique sites:
Hg1 0.000 0.000 0.000 x4
As1 0.250 0.250 0.750 x4
W1 0.000 0.000 0.500 x4
W2 0.250 0.250 0.250 x4

Values from the calculation:
Magnetization   0.00 μB per formula unit
Excess energy over the best structure of this formula in the dataset   537 meV per atom
DOS at the Fermi energy   14.2 states/eV/cell



[14]
The following is a PBE calculation of a relaxed Hg4AsW crystal, from the Alexandria database.

Cell lengths 8.128, 8.128, 8.128 Å; angles 90.00, 90.00, 90.00 degrees
Space group F-43m (No. 216)
Unique sites:
Hg1 0.125 0.125 0.125 x16
As1 0.000 0.000 0.500 x4
W1 0.250 0.250 0.750 x4

Values from the calculation:
Calculated total energy   -2.057 eV/atom
Magnetization   2.81 μB per formula unit
DOS at the Fermi energy   10.9 states/eV/cell



[15]
The following is a PBE calculation of a relaxed HgAsW2 crystal, from the Alexandria database.

Cell lengths 8.827, 3.019, 5.394 Å; angles 90.00, 103.89, 90.00 degrees
Space group C2/m (No. 12)
Unique sites:
Hg1 0.000 0.000 0.000 x2
As1 0.000 0.500 0.500 x2
W1 0.236 0.000 0.719 x4

Values from the calculation:
Magnetization   0.00 μB per formula unit
Excess energy over the best structure of this formula in the dataset   347 meV per atom
DOS at the Fermi energy   6.3 states/eV/cell